Density functional theory data (PBE) for Na3Sm2MnSe6 after structural relaxation.

a = 7.1215 Å, b = 7.1215 Å, c = 7.3811 Å
α = 99.09°, β = 99.09°, γ = 120.39°
Closest atoms and distances in Å follow each position.
Atoms (fractional coordinates):
Na  0.0000  0.0000  0.0000  6 Se 2.97-3.28
Na  0.3310  0.6690  0.0000  6 Se 2.98-3.14
Na  0.6690  0.3310  0.0000  6 Se 2.98-3.14
Sm  0.1681  0.8319  0.5000  6 Se 2.91-2.94
Sm  0.8319  0.1681  0.5000  6 Se 2.91-2.94
Mn  0.5000  0.5000  0.5000  6 Se 2.59-2.74
Se  0.1104  0.4218  0.2704  1 Mn 2.74, 2 Sm 2.91-2.93, 2 Na 2.97-2.98
Se  0.2740  0.2740  0.7153  1 Mn 2.59
Se  0.4218  0.1104  0.2704  1 Mn 2.74, 2 Sm 2.91-2.93, 2 Na 2.97-2.98
Se  0.5782  0.8896  0.7296  1 Mn 2.74, 2 Sm 2.91-2.93, 2 Na 2.97-2.98
Se  0.7260  0.7260  0.2847  1 Mn 2.59
Se  0.8896  0.5782  0.7296  1 Mn 2.74, 2 Sm 2.91-2.93, 2 Na 2.97-2.98

Values from the calculation:
- total DFT energy (no corrections) (eV per atom) = -4.9402
- D(E_F) (states/eV/atom) = 0.331
- raw formation energy (eV/atom) = -1.32
- space group = C2/m
- magnetization (μB/atom) = 0.333



Density functional theory data (PBE) for LiTl2Ag after structural relaxation.

a = 3.3402 Å, b = 3.6418 Å, c = 7.5331 Å
α = 90.00°, β = 90.00°, γ = 90.00°
Closest atoms and distances in Å follow each position.
Atoms (fractional coordinates):
Li  0.0000  0.0000  0.0000  4 Ag 2.77, 4 Tl 3.08
Tl  0.0000  0.0000  0.5747  4 Ag 3.15, 1 Li 3.20, 6 Tl 3.34-3.51
Tl  0.5000  0.5000  0.2447  4 Li 3.08, 1 Ag 3.10, 2 Tl 3.34
Ag  0.5000  0.5000  0.8332  4 Li 2.77, 1 Tl 3.10

Values from the calculation:
- total DFT energy (no corrections) (eV per atom) = -2.4353
- D(E_F) (states/eV/atom) = 0.268
- calculated formation energy (eV per atom) = -0.061
- space group = Pmm2
- magnetization (μB/atom) = 0.000
- E above lowest polymorph (eV/atom) = 0.000



Density functional theory data (PBE) for CdReSe2 after structural relaxation.

a = 7.1986 Å, b = 7.1986 Å, c = 7.1986 Å
α = 155.50°, β = 146.97°, γ = 41.55°
Closest atoms and distances in Å follow each position.
Atoms (fractional coordinates):
Cd  0.0000  0.0000  0.0000  6 Se 2.96-3.17, 2 Cd 3.05, 2 Re 3.27
Re  0.7850  0.2850  0.5000  6 Se 2.49-2.66
Se  0.3407  0.8407  0.5000  4 Re 2.66, 2 Cd 2.96
Se  0.6391  0.6391  0.0000  2 Re 2.49

Values from the calculation:
- total DFT energy (no corrections) (eV per atom) = -4.8207
- D(E_F) (states/eV/atom) = 0.603
- raw formation energy (eV/atom) = 0.26
- space group = Imm2
- magnetization (μB/atom) = 0.000
- E above lowest polymorph (eV/atom) = 0.254



Density functional theory data (PBE) for ZnTc3Os after structural relaxation.

a = 4.3866 Å, b = 4.3866 Å, c = 4.3866 Å
α = 90.00°, β = 90.00°, γ = 90.00°
Closest atoms and distances in Å follow each position.
Atoms (fractional coordinates):
Zn  0.0000  0.0000  0.0000  6 Tc 2.19
Tc  0.0000  0.0000  0.5000  2 Zn 2.19
Tc  0.0000  0.5000  0.0000  2 Zn 2.19
Tc  0.5000  0.0000  0.0000  2 Zn 2.19
Os  0.5000  0.5000  0.5000  12 Tc 3.10

Values from the calculation:
- total DFT energy (no corrections) (eV per atom) = -6.8336
- D(E_F) (states/eV/atom) = 1.091
- calculated formation energy (eV per atom) = 1.887
- space group = Pm-3m
- magnetization (μB/atom) = 0.000
- E above lowest polymorph (eV/atom) = 0.175



Density functional theory data (PBE) for K2BaMo after structural relaxation.

a = 7.6458 Å, b = 7.6458 Å, c = 7.6458 Å
α = 139.66°, β = 139.66°, γ = 58.38°
Closest atoms and distances in Å follow each position.
Atoms (fractional coordinates):
K  0.2500  0.7500  0.5000  4 K 3.73
K  0.7500  0.2500  0.5000  4 K 3.73
Ba  0.0000  0.0000  0.0000  4 Mo 3.73
Mo  0.5000  0.5000  0.0000  4 Ba 3.73

Values from the calculation:
- total DFT energy (no corrections) (eV per atom) = -2.6493
- D(E_F) (states/eV/atom) = 0.851
- calculated formation energy (eV per atom) = 1.088
- space group = I4/mmm
- magnetization (μB/atom) = 1.073
- E above lowest polymorph (eV/atom) = 0.106



Density functional theory data (PBE) for Nb4Ni after structural relaxation.

a = 4.6155 Å, b = 4.6155 Å, c = 4.6155 Å
α = 90.00°, β = 90.00°, γ = 90.00°
Closest atoms and distances in Å follow each position.
Atoms (fractional coordinates):
Nb  0.0000  0.0000  0.0000  12 Nb 3.26
Nb  0.0000  0.5000  0.5000  2 Ni 2.31
Nb  0.5000  0.0000  0.5000  2 Ni 2.31
Nb  0.5000  0.5000  0.0000  2 Ni 2.31
Ni  0.5000  0.5000  0.5000  6 Nb 2.31

Values from the calculation:
- total DFT energy (no corrections) (eV per atom) = -8.3610
- D(E_F) (states/eV/atom) = 1.726
- calculated formation energy (eV per atom) = 0.851
- space group = Pm-3m
- magnetization (μB/atom) = 0.000



Density functional theory data (PBE) for ScBeIn2Ni after structural relaxation.

a = 4.8451 Å, b = 4.8451 Å, c = 4.7210 Å
α = 90.00°, β = 90.00°, γ = 90.00°
Closest atoms and distances in Å follow each position.
Atoms (fractional coordinates):
Sc  0.0000  0.0000  0.0000  2 Ni 2.36
Be  0.5000  0.5000  0.0000  8 In 3.38, 4 Sc 3.43
In  0.0000  0.5000  0.5000  2 Ni 2.42
In  0.5000  0.0000  0.5000  2 Ni 2.42
Ni  0.0000  0.0000  0.5000  2 Sc 2.36, 4 In 2.42

Values from the calculation:
- total DFT energy (no corrections) (eV per atom) = -3.9364
- D(E_F) (states/eV/atom) = 0.782
- calculated formation energy (eV per atom) = 0.327
- space group = P4/mmm
- magnetization (μB/atom) = 0.000



Density functional theory data (PBE) for ScPd8Pb2 after structural relaxation.

a = 7.7536 Å, b = 7.7536 Å, c = 6.5721 Å
α = 108.51°, β = 108.51°, γ = 30.99°
Closest atoms and distances in Å follow each position.
Atoms (fractional coordinates):
Sc  0.0000  0.0000  0.0000  12 Pd 2.81-2.90
Pd  0.0857  0.0857  0.4512  8 Pd 2.77-3.01, 1 Sc 2.82, 2 Pb 2.85
Pd  0.1732  0.1732  0.9174  3 Pb 2.73-2.86, 1 Sc 2.81, 7 Pd 2.87-3.02
Pd  0.3649  0.3649  0.8134  6 Pd 2.81-2.95, 2 Sc 2.87, 3 Pb 2.95-2.98
Pd  0.4622  0.4622  0.2696  9 Pd 2.77-3.01, 1 Pb 2.82, 2 Sc 2.90
Pd  0.5378  0.5378  0.7304  9 Pd 2.77-3.01, 1 Pb 2.82, 2 Sc 2.90
Pd  0.6351  0.6351  0.1866  6 Pd 2.81-2.95, 2 Sc 2.87, 3 Pb 2.95-2.98
Pd  0.8268  0.8268  0.0826  3 Pb 2.73-2.86, 1 Sc 2.81, 7 Pd 2.87-3.02
Pd  0.9143  0.9143  0.5488  8 Pd 2.77-3.01, 1 Sc 2.82, 2 Pb 2.85
Pb  0.2860  0.2860  0.3389  9 Pd 2.73-2.98
Pb  0.7140  0.7140  0.6611  9 Pd 2.73-2.98

Values from the calculation:
- total DFT energy (no corrections) (eV per atom) = -5.4367
- D(E_F) (states/eV/atom) = 0.542
- calculated formation energy (eV per atom) = -0.410
- space group = C2/m
- magnetization (μB/atom) = 0.000



D(E_F) of number 3 (CdReSe2)?
0.603 states/eV/atom